# 1
{
  "formula": "KZrF5",
  "functional": "PBE-GGA",
  "state": "relaxed",
  "cell": [[7.1916, 0.0000, 0.0000], [3.2140, 7.6453, 0.0000], [3.1784, 1.4024, 9.9238]],
  "species": ["K", "K", "K", "K", "K", "K", "Zr", "Zr", "Zr", "Zr", "Zr", "Zr", "F", "F", "F", "F", "F", "F", "F", "F", "F", "F", "F", "F", "F", "F", "F", "F", "F", "F", "F", "F", "F", "F", "F", "F", "F", "F", "F", "F", "F", "F"],
  "fractional_positions": [[0.2050, 0.0075, 0.2717], [0.2451, 0.6521, 0.5677], [0.2785, 0.3218, 0.9219], [0.7215, 0.6782, 0.0781], [0.7549, 0.3479, 0.4323], [0.7950, 0.9925, 0.7283], [0.2189, 0.5260, 0.2426], [0.2423, 0.8356, 0.9293], [0.2671, 0.1607, 0.5815], [0.7329, 0.8393, 0.4185], [0.7577, 0.1644, 0.0707], [0.7811, 0.4740, 0.7574], [0.0808, 0.7357, 0.3640], [0.0966, 0.0635, 0.0374], [0.1179, 0.3896, 0.7002], [0.1266, 0.6234, 0.0507], [0.1501, 0.3283, 0.2100], [0.1631, 0.9978, 0.5302], [0.1637, 0.3742, 0.4385], [0.1713, 0.0633, 0.7818], [0.1907, 0.7455, 0.7887], [0.3208, 0.7458, 0.1250], [0.4478, 0.5033, 0.3258], [0.4744, 0.9299, 0.8969], [0.4895, 0.1009, 0.3925], [0.4900, 0.2208, 0.6181], [0.4906, 0.3914, 0.1072], [0.5094, 0.6086, 0.8928], [0.5100, 0.7792, 0.3819], [0.5105, 0.8991, 0.6075], [0.5256, 0.0701, 0.1031], [0.5522, 0.4967, 0.6742], [0.6792, 0.2542, 0.8750], [0.8093, 0.2545, 0.2113], [0.8287, 0.9367, 0.2182], [0.8363, 0.6258, 0.5615], [0.8369, 0.0022, 0.4698], [0.8499, 0.6717, 0.7900], [0.8734, 0.3766, 0.9493], [0.8821, 0.6104, 0.2998], [0.9034, 0.9365, 0.9626], [0.9192, 0.2643, 0.6360]],
  "dft_energy_ev_per_atom": -6.189,
  "volume_a3_per_cell": 546,
  "sg": "P-1 (2)",
  "density_g_cm3": 4.1
}

---

# 2
{
  "formula": "Bi2Pt2Br",
  "functional": "PBE-GGA",
  "state": "relaxed",
  "cell": [[-1.9881, 1.9881, 8.2144], [1.9881, -1.9881, 8.2144], [1.9881, 1.9881, -8.2144]],
  "species": ["Bi", "Bi", "Pt", "Pt", "Br"],
  "fractional_positions": [[0.1309, 0.1309, 0.0000], [0.8691, 0.8691, 0.0000], [0.2500, 0.7500, 0.5000], [0.7500, 0.2500, 0.5000], [0.5000, 0.5000, 0.0000]],
  "dft_energy_ev_per_atom": -4.720,
  "volume_a3_per_cell": 130,
  "sg": "I4/mmm (139)",
  "density_g_cm3": 11.4
}

---

# 3
{
  "formula": "Zr2ScZn",
  "functional": "PBE-GGA",
  "state": "relaxed",
  "cell": [[0.0000, 3.4523, 3.4523], [3.4523, 0.0000, 3.4523], [3.4523, 3.4523, 0.0000]],
  "species": ["Zr", "Zr", "Sc", "Zn"],
  "fractional_positions": [[0.0000, 0.0000, 0.0000], [0.2500, 0.2500, 0.2500], [0.5000, 0.5000, 0.5000], [0.7500, 0.7500, 0.7500]],
  "formation_energy_ev_per_atom": 0.047,
  "volume_a3_per_cell": 82,
  "sg": "F-43m (216)",
  "density_g_cm3": 5.9
}

---

# 4
{
  "formula": "SrGdNO",
  "functional": "PBE-GGA",
  "state": "relaxed",
  "cell": [[3.5414, 0.0000, 0.0000], [0.0000, 3.5414, 0.0000], [0.0000, 0.0000, 5.1337]],
  "species": ["Sr", "Gd", "N", "O"],
  "fractional_positions": [[0.0000, 0.0000, 0.0000], [0.5000, 0.5000, 0.5000], [0.0000, 0.0000, 0.5000], [0.5000, 0.5000, 0.0000]],
  "dft_energy_ev_per_atom": -6.948,
  "volume_a3_per_cell": 64,
  "sg": "P4/mmm (123)",
  "density_g_cm3": 7.1
}

---

Across the entries above, spin magnetization takes the values 0.0, 0.0, 0.1, 0.0 μB/f.u., respectively.